## Nd6Ga2N (PBE-GGA)

Data for crystalline Nd6Ga2N at its relaxed geometry.

Cell and atoms, written as extended XYZ:
```
9
Lattice="-2.451 4.715 -0.525 -6.059 -3.143 0.061 3.998 -0.159 7.034" Properties=species:S:1:pos:R:3 pbc="T T T"
Nd -1.592 -0.605 1.989
Nd 0.104 3.587 4.550
Nd -2.920 2.018 4.581
Nd -2.658 1.614 -0.248
Nd -4.616 -2.174 2.019
Nd -5.852 -0.042 -0.216
Ga -4.344 1.003 2.125
Ga -0.168 0.410 4.445
N 0.000 0.000 0.000
```

Properties
M_tot ... 0.000 μB/atom
Fermi-level density of states ... 9.60 states/eV/f.u.
Uncorrected formation energy ... -19 kJ per mole of atoms